Ca4ScMn: relaxed, PBE.

Unit cell a=6.679 b=6.679 c=6.679 alpha=60.00 beta=60.00 gamma=60.00
Last column: magnetic moment on the atom in μB.
Positions (direct):
Ca: 0.375 0.375 0.876  0.07
Ca: 0.375 0.375 0.375  0.07
Ca: 0.375 0.876 0.375  0.07
Ca: 0.876 0.375 0.375  0.07
Sc: 0.000 0.000 0.000  0.40
Mn: 0.750 0.750 0.750  4.35

Density   2.05 g/cm3
Calculated formation energy   4.26 eV/f.u.
Electronic total energy   -3.21 eV/atom


CeBeB: relaxed, PBE.

Unit cell a=4.233 b=4.233 c=5.440 alpha=105.77 beta=105.77 gamma=107.54
Positions (direct):
Ce: 0.303 0.697 0.000
Ce: 0.697 0.303 0.000
Be: 0.217 0.217 0.434
Be: 0.783 0.783 0.566
B: 0.750 0.250 0.500
B: 0.250 0.750 0.500

Density   6.44 g/cm3
Calculated formation energy   1.01 eV/f.u.
Electronic total energy   -5.11 eV/atom


Zr2CdTe: relaxed, PBE.

Unit cell a=3.949 b=5.041 c=6.362 alpha=46.03 beta=90.00 gamma=90.00
Positions (direct):
Zr: 0.000 0.000 0.000
Zr: 0.500 0.500 0.000
Cd: 0.500 0.500 0.500
Te: 0.000 0.000 0.500

Offset from the most stable computed form   100 meV per atom
Density   7.70 g/cm3
Formation energy (no corrections)   -218 meV per atom
Electronic total energy   -5.51 eV/atom


LiTaBe: relaxed, PBE.

Unit cell a=6.786 b=5.004 c=2.775 alpha=73.74 beta=89.94 gamma=110.37
Positions (direct):
Ta: 0.411 0.181 0.157
Ta: 0.589 0.819 0.843
Be: 0.923 0.093 0.203
Be: 0.077 0.907 0.797
Li: 0.813 0.483 0.508
Li: 0.187 0.517 0.492

Offset from the most stable computed form   165 meV per atom
Density   7.76 g/cm3
Calculated formation energy   0.88 eV/f.u.
Electronic total energy   -5.54 eV/atom


RbCu2HgSb: relaxed, PBE.

Unit cell a=5.151 b=5.596 c=5.151 alpha=90.00 beta=90.00 gamma=90.00
Positions (direct):
Hg: 0.000 0.000 0.000
Cu: 0.500 0.000 0.000
Cu: 0.000 0.000 0.500
Sb: 0.000 0.500 0.000
Rb: 0.500 0.500 0.500

Density   5.98 g/cm3
Formation energy (no corrections)   442 meV per atom
Electronic total energy   -2.27 eV/atom


MgReIr: relaxed, PBE.

Unit cell a=4.607 b=7.141 c=2.849 alpha=101.52 beta=90.01 gamma=87.11
Positions (direct):
Mg: 0.297 0.874 0.137
Mg: 0.102 0.209 0.805
Ir: 0.798 0.876 0.626
Ir: 0.601 0.207 0.291
Re: 0.200 0.542 0.498
Re: 0.700 0.542 0.919

Offset from the most stable computed form   187 meV per atom
Density   14.58 g/cm3
Calculated formation energy   0.04 eV/f.u.
Electronic total energy   -7.62 eV/atom


NpUNb2: relaxed, PBE.

Unit cell a=2.879 b=5.376 c=5.376 alpha=90.00 beta=90.00 gamma=90.00
Last column: magnetic moment on the atom in μB.
Positions (direct):
Nb: 0.000 0.500 0.000  -0.11
Nb: 0.000 0.000 0.500  -0.11
U: 0.500 0.500 0.500  -0.28
Np: 0.500 0.000 0.000  3.33

Offset from the most stable computed form   137 meV per atom
Density   13.19 g/cm3
Calculated formation energy   2.18 eV/f.u.
Electronic total energy   -10.55 eV/atom


NaZr2Ru: relaxed, PBE.

Unit cell a=7.614 b=7.614 c=6.172 alpha=51.92 beta=51.92 gamma=90.00
Positions (direct):
Na: 0.250 0.750 0.500
Na: 0.500 0.500 0.000
Zr: 0.875 0.918 0.750
Zr: 0.082 0.625 0.250
Zr: 0.668 0.125 0.250
Zr: 0.375 0.332 0.750
Ru: 0.000 0.000 0.000
Ru: 0.750 0.250 0.500

Offset from the most stable computed form   316 meV per atom
Density   5.82 g/cm3
Calculated formation energy   1.69 eV/f.u.
Electronic total energy   -6.50 eV/atom


LiMgScTl: relaxed, PBE.

Unit cell a=4.919 b=4.919 c=4.919 alpha=120.00 beta=120.00 gamma=90.00
Positions (direct):
Mg: 0.750 0.250 0.500
Li: 0.000 0.000 0.000
Sc: 0.250 0.750 0.500
Tl: 0.500 0.500 0.000

Offset from the most stable computed form   6 meV per atom
Density   5.54 g/cm3
Calculated formation energy   -0.66 eV/f.u.
Electronic total energy   -3.22 eV/atom


ThMg15In4: relaxed, PBE.

Unit cell a=4.740 b=4.740 c=20.970 alpha=90.00 beta=90.00 gamma=90.00
Positions (direct):
Mg: 0.500 0.500 0.000
Mg: 0.500 0.000 0.500
Mg: 0.000 0.500 0.891
Mg: 0.500 0.500 0.599
Mg: 0.000 0.500 0.109
Mg: 0.500 0.000 0.697
Mg: 0.000 0.500 0.500
Mg: 0.000 0.500 0.303
Mg: 0.500 0.000 0.109
Mg: 0.500 0.500 0.210
Mg: 0.000 0.500 0.697
Mg: 0.500 0.000 0.891
Mg: 0.500 0.000 0.303
Mg: 0.500 0.500 0.790
Mg: 0.500 0.500 0.401
Th: 0.000 0.000 0.000
In: 0.000 0.000 0.798
In: 0.000 0.000 0.202
In: 0.000 0.000 0.597
In: 0.000 0.000 0.403

Density   3.72 g/cm3
Calculated formation energy   -0.67 eV/f.u.
Electronic total energy   -2.15 eV/atom


MgH2: relaxed, PBE.

Unit cell a=3.786 b=3.786 c=9.358 alpha=90.00 beta=90.00 gamma=90.00
Positions (direct):
Mg: 0.500 0.000 0.750
Mg: 0.000 0.500 0.250
Mg: 0.000 0.000 0.000
Mg: 0.500 0.500 0.500
H: 0.500 0.000 0.539
H: 0.500 0.500 0.289
H: 0.000 0.500 0.039
H: 0.500 0.000 0.961
H: 0.000 0.000 0.211
H: 0.500 0.500 0.711
H: 0.000 0.500 0.461
H: 0.000 0.000 0.789

Density   1.30 g/cm3
Electronic total energy   -2.94 eV/atom


AlZnBi3: relaxed, PBE.

Unit cell a=5.438 b=5.438 c=5.438 alpha=90.00 beta=90.00 gamma=90.00
Positions (direct):
Zn: 0.000 0.000 0.000
Bi: 0.000 0.000 0.500
Bi: 0.500 0.000 0.000
Bi: 0.000 0.500 0.000
Al: 0.500 0.500 0.500

Offset from the most stable computed form   0 meV per atom
Density   7.43 g/cm3
Calculated formation energy   3.05 eV/f.u.
Electronic total energy   -2.72 eV/atom


- density of number 11 (MgH2)?
  1.30 g/cm3


- Number 4 is which compound?
  LiTaBe


- Among the records above, which one has the lowest electronic total energy?
  NpUNb2